Computed, not measured: a relaxed Mg2MnTl3F9 crystal at the PBE with a Hubbard U level of DFT.

It has space group P-3m1 (No. 164), with a = 5.9302 Å, b = 5.9302 Å, c = 7.2724 Å, α = 90.00°, β = 90.00° and γ = 120.00°. The distinct sites, in fractional coordinates, are Mg at (0.3333, 0.6667, 0.1601), Mn at (0.0000, 0.0000, 0.5000), Tl at (0.0000, 0.0000, 0.0000), Tl at (0.3333, 0.6667, 0.6661), F at (0.0000, 0.5000, 0.0000) and F at (0.1713, 0.3427, 0.3264).

The crystal system is trigonal. The value obtained for the total DFT energy (no corrections) is -4.980 eV/atom.